# 1
Computed, not measured: a geometry-optimized Ba2AlSi3Pt4 structure at the PBE level of DFT.

Output
- space group = P-4m2, No. 115
- energy relative to the elements, uncorrected (eV/atom) = -0.83
- ρ (g/cm³) = 9.5
- density of states at the Fermi level (states/eV/f.u.) = 7.65

CIF file:
```
data_Ba2AlSi3Pt4
_chemical_formula_sum 'Ba2 Al1 Si3 Pt4'
_symmetry_space_group_name_H-M 'P 1'
_symmetry_Int_Tables_number 1
_cell_length_a 4.419
_cell_length_b 4.419
_cell_length_c 10.383
_cell_angle_alpha 90.00
_cell_angle_beta 90.00
_cell_angle_gamma 90.00
loop_
_symmetry_equiv_pos_as_xyz
'x,y,z'
loop_
_atom_site_label
_atom_site_fract_x
_atom_site_fract_y
_atom_site_fract_z
Ba1 0.000 0.500 0.248
Ba2 0.500 0.000 0.752
Al1 0.500 0.500 0.000
Si1 0.000 0.000 0.000
Si2 0.000 0.500 0.617
Si3 0.500 0.000 0.383
Pt1 0.000 0.000 0.500
Pt2 0.000 0.500 0.877
Pt3 0.500 0.000 0.123
Pt4 0.500 0.500 0.500
```



# 2
Computed, not measured: a geometry-optimized ZrMn2Au structure at the PBE level of DFT.

Output
- space group = I4/mmm, No. 139
- offset from the most stable computed form (meV per atom) = 73
- ρ (g/cm³) = 9.9
- density of states at the Fermi level (states/eV/f.u.) = 4.11

CIF file:
```
data_ZrMn2Au
_chemical_formula_sum 'Zr1 Mn2 Au1'
_symmetry_space_group_name_H-M 'P 1'
_symmetry_Int_Tables_number 1
_cell_length_a 4.925
_cell_length_b 4.925
_cell_length_c 4.925
_cell_angle_alpha 130.91
_cell_angle_beta 130.91
_cell_angle_gamma 71.96
loop_
_symmetry_equiv_pos_as_xyz
'x,y,z'
loop_
_atom_site_label
_atom_site_fract_x
_atom_site_fract_y
_atom_site_fract_z
Zr1 0.000 0.000 0.000
Mn1 0.250 0.750 0.500
Mn2 0.750 0.250 0.500
Au1 0.500 0.500 0.000
```



# 3
Computed, not measured: a geometry-optimized Ca3Zn2GaAg9 structure at the PBE level of DFT.

Output
- space group = P-3m1, No. 164
- final energy (eV per cell) = -37.2
- ρ (g/cm³) = 6.0
- density of states at the Fermi level (states/eV/f.u.) = 8.02

CIF file:
```
data_Ca3Zn2GaAg9
_chemical_formula_sum 'Ca3 Zn2 Ga1 Ag9'
_symmetry_space_group_name_H-M 'P 1'
_symmetry_Int_Tables_number 1
_cell_length_a 7.803
_cell_length_b 7.803
_cell_length_c 6.779
_cell_angle_alpha 90.00
_cell_angle_beta 90.00
_cell_angle_gamma 120.00
loop_
_symmetry_equiv_pos_as_xyz
'x,y,z'
loop_
_atom_site_label
_atom_site_fract_x
_atom_site_fract_y
_atom_site_fract_z
Ca1 0.000 0.000 0.000
Ca2 0.333 0.667 0.666
Ca3 0.667 0.333 0.334
Zn1 0.333 0.667 0.165
Zn2 0.667 0.333 0.835
Ga1 0.000 0.000 0.500
Ag1 0.000 0.500 0.000
Ag2 0.167 0.334 0.330
Ag3 0.167 0.833 0.330
Ag4 0.334 0.167 0.670
Ag5 0.500 0.000 0.000
Ag6 0.500 0.500 0.000
Ag7 0.666 0.833 0.330
Ag8 0.833 0.167 0.670
Ag9 0.833 0.666 0.670
```



# 4
Computed, not measured: a geometry-optimized PmAl4Cu2Pt structure at the PBE level of DFT.

Output
- space group = R-3m, No. 166
- final energy (eV per cell) = -38.0
- ρ (g/cm³) = 6.9
- density of states at the Fermi level (states/eV/f.u.) = 3.13

CIF file:
```
data_PmAl4Cu2Pt
_chemical_formula_sum 'Pm1 Al4 Cu2 Pt1'
_symmetry_space_group_name_H-M 'P 1'
_symmetry_Int_Tables_number 1
_cell_length_a 9.320
_cell_length_b 9.320
_cell_length_c 9.320
_cell_angle_alpha 26.17
_cell_angle_beta 26.17
_cell_angle_gamma 26.17
loop_
_symmetry_equiv_pos_as_xyz
'x,y,z'
loop_
_atom_site_label
_atom_site_fract_x
_atom_site_fract_y
_atom_site_fract_z
Pm1 0.000 0.000 0.000
Al1 0.130 0.130 0.130
Al2 0.405 0.405 0.405
Al3 0.595 0.595 0.595
Al4 0.870 0.870 0.870
Cu1 0.244 0.244 0.244
Cu2 0.756 0.756 0.756
Pt1 0.500 0.500 0.500
```



# 5
Computed, not measured: a geometry-optimized ZrAg2Pb structure at the PBE level of DFT.

Output
- space group = Pmmm, No. 47
- final energy (eV per cell) = -17.9
- ρ (g/cm³) = 9.8
- density of states at the Fermi level (states/eV/f.u.) = 2.04

CIF file:
```
data_ZrAg2Pb
_chemical_formula_sum 'Zr1 Ag2 Pb1'
_symmetry_space_group_name_H-M 'P 1'
_symmetry_Int_Tables_number 1
_cell_length_a 3.237
_cell_length_b 4.349
_cell_length_c 6.161
_cell_angle_alpha 90.00
_cell_angle_beta 90.00
_cell_angle_gamma 90.00
loop_
_symmetry_equiv_pos_as_xyz
'x,y,z'
loop_
_atom_site_label
_atom_site_fract_x
_atom_site_fract_y
_atom_site_fract_z
Zr1 0.000 0.000 0.000
Ag1 0.500 0.500 0.232
Ag2 0.500 0.500 0.768
Pb1 0.000 0.000 0.500
```



# 6
Computed, not measured: a geometry-optimized NdTm2Bi3 structure at the PBE level of DFT.

Output
- space group = Immm, No. 71
- final energy (eV per cell) = -30.3
- ρ (g/cm³) = 9.6
- density of states at the Fermi level (states/eV/f.u.) = 1.29

CIF file:
```
data_NdTm2Bi3
_chemical_formula_sum 'Nd1 Tm2 Bi3'
_symmetry_space_group_name_H-M 'P 1'
_symmetry_Int_Tables_number 1
_cell_length_a 7.781
_cell_length_b 7.781
_cell_length_c 7.781
_cell_angle_alpha 146.43
_cell_angle_beta 131.71
_cell_angle_gamma 60.09
loop_
_symmetry_equiv_pos_as_xyz
'x,y,z'
loop_
_atom_site_label
_atom_site_fract_x
_atom_site_fract_y
_atom_site_fract_z
Nd1 0.000 0.000 0.000
Tm1 0.336 0.336 0.000
Tm2 0.664 0.664 0.000
Bi1 0.173 0.673 0.500
Bi2 0.500 0.000 0.500
Bi3 0.827 0.327 0.500
```



# 7
Computed, not measured: a geometry-optimized ScAlV structure at the PBE level of DFT.

Output
- space group = I4mm, No. 107
- offset from the most stable computed form (meV per atom) = 186
- ρ (g/cm³) = 3.9
- density of states at the Fermi level (states/eV/f.u.) = 2.52

CIF file:
```
data_ScAlV
_chemical_formula_sum 'Sc1 Al1 V1'
_symmetry_space_group_name_H-M 'P 1'
_symmetry_Int_Tables_number 1
_cell_length_a 5.560
_cell_length_b 5.560
_cell_length_c 5.560
_cell_angle_alpha 146.34
_cell_angle_beta 146.34
_cell_angle_gamma 48.34
loop_
_symmetry_equiv_pos_as_xyz
'x,y,z'
loop_
_atom_site_label
_atom_site_fract_x
_atom_site_fract_y
_atom_site_fract_z
Sc1 0.000 0.000 0.000
Al1 0.692 0.692 0.000
V1 0.331 0.331 0.000
```



# 8
Computed, not measured: a geometry-optimized HfVS2N structure at the PBE level of DFT.

Output
- space group = P4/mmm, No. 123
- energy relative to the elements, uncorrected (eV/atom) = -0.37
- offset from the most stable computed form (meV per atom) = 0
- ρ (g/cm³) = 6.6
- density of states at the Fermi level (states/eV/f.u.) = 2.66

CIF file:
```
data_HfVS2N
_chemical_formula_sum 'Hf1 V1 S2 N1'
_symmetry_space_group_name_H-M 'P 1'
_symmetry_Int_Tables_number 1
_cell_length_a 4.658
_cell_length_b 4.658
_cell_length_c 3.589
_cell_angle_alpha 90.00
_cell_angle_beta 90.00
_cell_angle_gamma 90.00
loop_
_symmetry_equiv_pos_as_xyz
'x,y,z'
loop_
_atom_site_label
_atom_site_fract_x
_atom_site_fract_y
_atom_site_fract_z
Hf1 0.000 0.000 0.000
V1 0.500 0.500 0.500
S1 0.000 0.500 0.500
S2 0.500 0.000 0.500
N1 0.500 0.500 0.000
```